Record 1
LaTcAsO | PBE | relaxed

POSCAR file:
```
LaTcAsO
1.0
-0.813 3.968 0.052
-3.882 -0.784 -0.851
-1.827 -0.489 8.783
As La O Tc
2 2 2 2
Direct
0.750 0.750 0.335 As
0.250 0.250 0.665 As
0.250 0.250 0.137 La
0.750 0.750 0.863 La
0.750 0.250 0.000 O
0.250 0.750 0.000 O
0.750 0.250 0.500 Tc
0.250 0.750 0.500 Tc
```

=====

Record 2
AcNbB | PBE | relaxed

POSCAR file:
```
AcNbB
1.0
0.000 3.171 3.171
3.171 0.000 3.171
3.171 3.171 0.000
Ac B Nb
1 1 1
Direct
0.250 0.250 0.250 Ac
0.750 0.750 0.750 B
0.000 0.000 0.000 Nb
```

=====

Record 3
Y2ScCu4Si2Ge2 | PBE | relaxed

POSCAR file:
```
Y2ScCu4Si2Ge2
1.0
-2.081 3.250 6.824
2.081 -3.250 6.824
2.081 3.250 -6.824
Cu Ge Sc Si Y
4 2 1 2 2
Direct
0.645 0.336 0.309 Cu
0.973 0.664 0.309 Cu
0.027 0.336 0.691 Cu
0.355 0.664 0.691 Cu
0.213 0.213 0.000 Ge
0.787 0.787 0.000 Ge
0.000 0.000 0.000 Sc
0.690 0.500 0.190 Si
0.310 0.500 0.810 Si
0.629 0.129 0.500 Y
0.371 0.871 0.500 Y
```

=====

Let's list excess energy over the best structure of this formula in the dataset in order: 0; 666; 15 meV per atom.